Density functional theory data (GGA-PBEsol) for LiFeTc2 after structural relaxation.

```
LiFeTc2
1.0
-1.511 2.064 3.975
1.511 -2.064 3.975
1.511 2.064 -3.975
Li Fe Tc
1 1 2
direct
0.000 0.000 0.000 Li
0.753 0.253 0.500 Fe
0.264 0.764 0.500 Tc
0.511 0.511 0.000 Tc
```

Computed properties:
Calculated formation energy (meV per atom): 295
Relative energy among the computed polymorphs (eV/f.u.): 0.24
Size of the total moment (μB per atom): 0.4337
DOS(E_F) (states/eV per atom): 1.107
Total energy (eV per atom): -8.071

Density functional theory data (GGA-PBEsol) for LiFeTc2 after structural relaxation.

```
LiFeTc2
1.0
0.000 2.907 2.907
2.907 0.000 2.907
2.907 2.907 0.000
Li Fe Tc
1 1 2
direct
0.000 0.000 0.000 Li
0.250 0.250 0.250 Fe
0.500 0.500 0.500 Tc
0.750 0.750 0.750 Tc
```

Computed properties:
Calculated formation energy (meV per atom): 261
Relative energy among the computed polymorphs (eV/f.u.): 0.11
Size of the total moment (μB per atom): 0.1911
DOS(E_F) (states/eV per atom): 0.936
Total energy (eV per atom): -8.104

Density functional theory data (GGA-PBEsol) for LiFeTc2 after structural relaxation.

```
LiFeTc2
1.0
2.561 0.000 0.000
0.000 4.172 0.000
0.000 0.000 4.514
Li Fe Tc
1 1 2
direct
0.000 0.000 0.000 Li
0.000 0.500 0.689 Fe
0.500 0.000 0.506 Tc
0.500 0.500 0.172 Tc
```

Computed properties:
Calculated formation energy (meV per atom): 254
Relative energy among the computed polymorphs (eV/f.u.): 0.08
Size of the total moment (μB per atom): 0.0010
DOS(E_F) (states/eV per atom): 0.801
Total energy (eV per atom): -8.112

Density functional theory data (GGA-PBEsol) for LiFeTc after structural relaxation.

```
LiFeTc
1.0
0.000 2.029 6.546
1.477 0.000 6.546
1.477 2.029 0.000
Li Fe Tc
1 1 1
direct
0.000 0.000 0.000 Li
0.332 0.332 0.668 Fe
0.677 0.677 0.323 Tc
```

Computed properties:
Calculated formation energy (meV per atom): 298
Size of the total moment (μB per atom): 0.7666
DOS(E_F) (states/eV per atom): 0.863
Total energy (eV per atom): -7.101

Density functional theory data (GGA-PBEsol) for Li2FeTe after structural relaxation.

```
Li2FeTe
1.0
0.000 3.059 3.059
3.059 0.000 3.059
3.059 3.059 0.000
Li Fe Te
2 1 1
direct
0.000 0.000 0.000 Li
0.250 0.250 0.250 Li
0.500 0.500 0.500 Fe
0.750 0.750 0.750 Te
```

Computed properties:
Raw formation energy (eV/atom): -0.161
Size of the total moment (μB per atom): 0.4744
DOS(E_F) (states/eV per atom): 0.506
Total energy (eV per atom): -4.267

Density functional theory data (GGA-PBEsol) for Li2FeTe after structural relaxation.

```
Li2FeTe
1.0
-1.896 1.896 4.300
1.896 -1.896 4.300
1.896 1.896 -4.300
Li Fe Te
2 1 1
direct
0.250 0.750 0.500 Li
0.750 0.250 0.500 Li
0.000 0.000 0.000 Fe
0.500 0.500 0.000 Te
```

Computed properties:
Raw formation energy (eV/atom): -0.050
Size of the total moment (μB per atom): 0.5008
DOS(E_F) (states/eV per atom): 1.080
Total energy (eV per atom): -4.156

Density functional theory data (GGA-PBEsol) for LiFe3Te after structural relaxation.

```
LiFe3Te
1.0
4.707 0.000 0.000
0.000 4.707 0.000
0.000 0.000 4.707
Li Fe Te
1 3 1
direct
0.000 0.000 0.000 Li
0.000 0.500 0.500 Fe
0.500 0.000 0.500 Fe
0.500 0.500 0.000 Fe
0.500 0.500 0.500 Te
```

Computed properties:
Raw formation energy (eV/atom): 1.128
Size of the total moment (μB per atom): 1.4301
DOS(E_F) (states/eV per atom): 1.751
Total energy (eV per atom): -5.349

Density functional theory data (GGA-PBEsol) for Li2FeTe after structural relaxation.

```
Li2FeTe
1.0
3.406 0.000 0.000
0.000 3.406 0.000
0.000 0.000 5.676
Li Fe Te
2 1 1
direct
0.000 0.000 0.000 Li
0.500 0.500 0.249 Li
0.500 0.500 0.740 Fe
0.000 0.000 0.535 Te
```

Computed properties:
Raw formation energy (eV/atom): -0.002
Size of the total moment (μB per atom): 0.5444
DOS(E_F) (states/eV per atom): 0.668
Total energy (eV per atom): -4.108

Density functional theory data (GGA-PBEsol) for Li2FeTe after structural relaxation.

```
Li2FeTe
1.0
3.887 0.000 0.000
0.000 3.887 0.000
0.000 0.000 4.081
Li Fe Te
2 1 1
direct
0.000 0.500 0.000 Li
0.500 0.000 0.000 Li
0.000 0.000 0.500 Fe
0.500 0.500 0.500 Te
```

Computed properties:
Raw formation energy (eV/atom): -0.144
Size of the total moment (μB per atom): 0.6410
DOS(E_F) (states/eV per atom): 0.812
Total energy (eV per atom): -4.250

Density functional theory data (GGA-PBEsol) for Li2TlFe after structural relaxation.

```
Li2TlFe
1.0
2.880 0.000 0.000
0.000 4.662 0.000
-0.545 0.000 4.822
Li Tl Fe
2 1 1
direct
0.248 0.000 0.267 Li
0.752 0.000 0.733 Li
0.500 0.500 0.000 Tl
0.000 0.500 0.500 Fe
```

Computed properties:
Calculated formation energy (meV per atom): 238
Size of the total moment (μB per atom): 0.5919
DOS(E_F) (states/eV per atom): 0.789
Total energy (eV per atom): -3.644

Density functional theory data (GGA-PBEsol) for LiTl4Fe after structural relaxation.

```
LiTl4Fe
1.0
0.000 4.315 4.315
4.315 0.000 4.315
4.315 4.315 0.000
Li Tl Fe
1 4 1
direct
0.000 0.000 0.000 Li
0.375 0.375 0.375 Tl
0.375 0.375 0.874 Tl
0.375 0.874 0.375 Tl
0.874 0.375 0.375 Tl
0.750 0.750 0.750 Fe
```

Computed properties:
Calculated formation energy (meV per atom): 635
Size of the total moment (μB per atom): 0.5283
DOS(E_F) (states/eV per atom): 1.330
Total energy (eV per atom): -2.940

Density functional theory data (GGA-PBEsol) for Li2TlFe after structural relaxation.

```
Li2TlFe
1.0
2.888 0.000 0.000
0.000 3.897 0.000
0.000 0.000 5.840
Li Tl Fe
2 1 1
direct
0.000 0.000 0.000 Li
0.500 0.500 0.251 Li
0.000 0.000 0.527 Tl
0.500 0.500 0.768 Fe
```

Computed properties:
Calculated formation energy (meV per atom): 256
Size of the total moment (μB per atom): 0.6280
DOS(E_F) (states/eV per atom): 0.746
Total energy (eV per atom): -3.625

Density functional theory data (GGA-PBEsol) for Li2TlFe after structural relaxation.

```
Li2TlFe
1.0
-1.908 1.908 4.417
1.908 -1.908 4.417
1.908 1.908 -4.417
Li Tl Fe
2 1 1
direct
0.250 0.750 0.500 Li
0.750 0.250 0.500 Li
0.000 0.000 0.000 Tl
0.500 0.500 0.000 Fe
```

Computed properties:
Calculated formation energy (meV per atom): 211
Size of the total moment (μB per atom): 0.6565
DOS(E_F) (states/eV per atom): 0.696
Total energy (eV per atom): -3.671

Density functional theory data (GGA-PBEsol) for LiFe3W after structural relaxation.

```
LiFe3W
1.0
4.467 0.000 0.000
0.000 4.467 0.000
0.000 0.000 4.467
Li Fe W
1 3 1
direct
0.000 0.000 0.000 Li
0.000 0.500 0.500 Fe
0.500 0.000 0.500 Fe
0.500 0.500 0.000 Fe
0.500 0.500 0.500 W
```

Computed properties:
Calculated formation energy (meV per atom): 1464
Relative energy among the computed polymorphs (eV/f.u.): 2.62
Size of the total moment (μB per atom): 0.9157
DOS(E_F) (states/eV per atom): 0.964
Total energy (eV per atom): -7.069

Density functional theory data (GGA-PBEsol) for LiFeW2 after structural relaxation.

```
LiFeW2
1.0
3.618 0.000 0.000
0.000 3.783 0.000
0.000 0.000 3.803
Li Fe W
1 1 2
direct
0.000 0.000 0.000 Li
0.000 0.500 0.500 Fe
0.500 0.000 0.500 W
0.500 0.500 0.000 W
```

Computed properties:
Calculated formation energy (meV per atom): 485
Relative energy among the computed polymorphs (eV/f.u.): 0.38
Size of the total moment (μB per atom): 0.1583
DOS(E_F) (states/eV per atom): 0.801
Total energy (eV per atom): -9.152